# 1
Mg3Re | GGA-PBE | optimized geometry

```
Mg3Re
1.0
-1.963 2.763 5.630
-1.165 -4.251 1.680
4.555 -3.661 -6.106
Mg Re
3 1
Direct
0.207 0.500 0.977
0.500 0.000 0.000
0.793 0.500 0.023
0.000 0.000 0.000
```

Values from the calculation:
DOS at the Fermi energy: 0.650 states/eV/atom
Energy above the most stable polymorph in this dataset: 108 meV per atom
DFT formation energy: 0.29 eV per atom
M_tot: 0.00 Bohr magnetons per cell

=====

# 2
Mg3Re | GGA-PBE | optimized geometry

```
Mg3Re
1.0
5.268 0.000 0.000
0.000 5.268 0.000
0.000 0.000 5.268
Mg Re
6 2
Direct
0.000 0.250 0.500
0.000 0.750 0.500
0.250 0.500 0.000
0.500 0.000 0.250
0.500 0.000 0.750
0.750 0.500 0.000
0.000 0.000 0.000
0.500 0.500 0.500
```

Values from the calculation:
DOS at the Fermi energy: 0.573 states/eV/atom
Energy above the most stable polymorph in this dataset: 319 meV per atom
DFT formation energy: 0.50 eV per atom
M_tot: 1.94 Bohr magnetons per cell

=====

# 3
Mg3Re4 | GGA-PBE | optimized geometry

```
Mg3Re4
1.0
12.398 0.005 0.000
11.628 4.300 0.000
-12.013 -2.153 2.182
Re Mg
4 3
Direct
0.130 0.130 0.000
0.427 0.427 0.000
0.573 0.573 0.000
0.870 0.870 0.000
0.000 0.000 0.000
0.295 0.295 0.000
0.705 0.705 0.000
```

Values from the calculation:
DOS at the Fermi energy: 0.380 states/eV/atom
Energy above the most stable polymorph in this dataset: 0 meV per atom
DFT formation energy: 0.09 eV per atom
M_tot: 0.00 Bohr magnetons per cell

=====

# 4
Mg3Re5 | GGA-PBE | optimized geometry

```
Mg3Re5
1.0
1.686 2.824 5.426
-5.433 3.267 -0.257
-1.426 -2.245 1.611
Mg Re
3 5
Direct
0.500 0.500 0.000
0.752 0.752 0.500
0.248 0.248 0.500
0.000 0.000 0.000
0.500 0.000 0.000
0.000 0.500 0.000
0.763 0.237 0.500
0.237 0.763 0.500
```

Values from the calculation:
DOS at the Fermi energy: 0.933 states/eV/atom
Energy above the most stable polymorph in this dataset: 0 meV per atom
DFT formation energy: 0.32 eV per atom
M_tot: 0.00 Bohr magnetons per cell

=====

Among the records above, which one has the highest DFT formation energy? number 2